{"formula": "TlPt3", "functional": "PBE", "state": "optimized geometry", "cell": [[4.7110, -1.5529, 0.0000], [4.7110, 1.5529, 0.0000], [-1.0284, 0.0000, 4.7481]], "species": ["Tl", "Pt", "Pt", "Pt"], "fractional_positions": [[0.0000, 0.0000, 0.0000], [0.2481, 0.2481, 0.7400], [0.5000, 0.5000, 0.5000], [0.7519, 0.7519, 0.2600]], "sg": "C2/m", "formation_energy_mev_per_atom": 54.7, "crystal_system": "monoclinic", "final_energy_ev_per_atom": -5.067, "volume_a3_per_atom": 17.37}


{"formula": "TlPt", "functional": "PBE", "state": "optimized geometry", "cell": [[-4.1741, 4.1741, 4.1741], [4.1741, -4.1741, 4.1741], [4.1741, 4.1741, -4.1741]], "species": ["Tl", "Tl", "Tl", "Tl", "Pt", "Pt", "Pt", "Pt"], "fractional_positions": [[0.0000, 0.0000, 0.4052], [0.0000, 0.4052, 0.0000], [0.4052, 0.0000, 0.0000], [0.5948, 0.5948, 0.5948], [0.0000, 0.0000, 0.7674], [0.0000, 0.7674, 0.0000], [0.2326, 0.2326, 0.2326], [0.7674, 0.0000, 0.0000]], "sg": "I-43m", "formation_energy_mev_per_atom": 158.6, "crystal_system": "cubic", "final_energy_ev_per_atom": -4.045, "volume_a3_per_atom": 36.36}


{"formula": "TlPt2", "functional": "PBE", "state": "optimized geometry", "cell": [[0.0000, 3.1531, 3.1531], [3.1531, 0.0000, 3.1531], [3.1531, 3.1531, 0.0000]], "species": ["Tl", "Pt", "Pt"], "fractional_positions": [[0.0000, 0.0000, 0.0000], [0.2500, 0.2500, 0.2500], [0.7500, 0.7500, 0.7500]], "sg": "Fm-3m", "formation_energy_mev_per_atom": 289.4, "crystal_system": "cubic", "final_energy_ev_per_atom": -4.527, "volume_a3_per_atom": 20.90}


{"formula": "TlPt2", "functional": "PBE", "state": "optimized geometry", "cell": [[-2.2881, 2.2881, 6.8148], [2.2881, -2.2881, 6.8148], [2.2881, 2.2881, -6.8148]], "species": ["Tl", "Tl", "Pt", "Pt", "Pt", "Pt"], "fractional_positions": [[0.3750, 0.6250, 0.7500], [0.6250, 0.3750, 0.2500], [0.0340, 0.7840, 0.2500], [0.2160, 0.9660, 0.2500], [0.7840, 0.0340, 0.7500], [0.9660, 0.2160, 0.7500]], "sg": "I4_1/amd", "formation_energy_mev_per_atom": 303.5, "crystal_system": "tetragonal", "final_energy_ev_per_atom": -4.512, "volume_a3_per_atom": 23.79}


{"formula": "TlPt2", "functional": "PBE", "state": "optimized geometry", "cell": [[6.0908, -1.4882, 0.0000], [6.0908, 1.4882, 0.0000], [-2.7871, 0.0000, 6.2135]], "species": ["Tl", "Tl", "Pt", "Pt", "Pt", "Pt"], "fractional_positions": [[0.1502, 0.1502, 0.1145], [0.8498, 0.8498, 0.8855], [0.1669, 0.1669, 0.5562], [0.4647, 0.4647, 0.2702], [0.5353, 0.5353, 0.7298], [0.8331, 0.8331, 0.4438]], "sg": "C2/m", "formation_energy_mev_per_atom": 62.2, "crystal_system": "monoclinic", "final_energy_ev_per_atom": -4.754, "volume_a3_per_atom": 18.77}


{"formula": "TlPt2", "functional": "PBE", "state": "optimized geometry", "cell": [[5.0314, -2.7009, 0.0000], [5.0314, 2.7009, 0.0000], [0.0000, 0.0000, 4.6838]], "species": ["Tl", "Tl", "Pt", "Pt", "Pt", "Pt"], "fractional_positions": [[0.2324, 0.7676, 0.7500], [0.7676, 0.2324, 0.2500], [0.1106, 0.3574, 0.7500], [0.3574, 0.1106, 0.2500], [0.6426, 0.8894, 0.7500], [0.8894, 0.6426, 0.2500]], "sg": "Cmcm", "formation_energy_mev_per_atom": -32.0, "crystal_system": "orthorhombic", "final_energy_ev_per_atom": -4.848, "volume_a3_per_atom": 21.22}


{"formula": "TlPt", "functional": "PBE", "state": "optimized geometry", "cell": [[8.4856, 0.0000, 0.0000], [-4.2428, 7.3487, 0.0000], [0.0000, 0.0000, 4.6025]], "species": ["Tl", "Tl", "Tl", "Tl", "Tl", "Tl", "Pt", "Pt", "Pt", "Pt", "Pt", "Pt"], "fractional_positions": [[0.1864, 0.3784, 0.2500], [0.1920, 0.8136, 0.2500], [0.3784, 0.1920, 0.7500], [0.6216, 0.8080, 0.2500], [0.8080, 0.1864, 0.7500], [0.8136, 0.6216, 0.7500], [0.1185, 0.5309, 0.7500], [0.4125, 0.8815, 0.7500], [0.4691, 0.5875, 0.7500], [0.5309, 0.4125, 0.2500], [0.5875, 0.1185, 0.2500], [0.8815, 0.4691, 0.2500]], "sg": "P6_3/m", "formation_energy_mev_per_atom": 17.0, "crystal_system": "hexagonal", "final_energy_ev_per_atom": -4.187, "volume_a3_per_atom": 23.92}


{"formula": "Tm8Tl2Pt", "functional": "PBE", "state": "optimized geometry", "cell": [[9.3468, -2.5037, 0.0000], [9.3468, 2.5037, 0.0000], [-1.3883, 0.0000, 6.4736]], "species": ["Tm", "Tm", "Tm", "Tm", "Tm", "Tm", "Tm", "Tm", "Tl", "Tl", "Pt"], "fractional_positions": [[0.0195, 0.0195, 0.2749], [0.2090, 0.2090, 0.8191], [0.3532, 0.3532, 0.5131], [0.4113, 0.4113, 0.0479], [0.5887, 0.5887, 0.9521], [0.6468, 0.6468, 0.4869], [0.7910, 0.7910, 0.1809], [0.9805, 0.9805, 0.7251], [0.1865, 0.1865, 0.2599], [0.8135, 0.8135, 0.7401], [0.5000, 0.5000, 0.5000]], "sg": "C2/m", "formation_energy_mev_per_atom": -345.0, "crystal_system": "monoclinic", "final_energy_ev_per_atom": -4.576, "volume_a3_per_atom": 27.54}


{"formula": "Tm12Tl6Pt", "functional": "PBE", "state": "optimized geometry", "cell": [[6.5834, 3.8009, 4.0767], [-6.5834, 3.8009, 4.0767], [0.0000, -7.6018, 4.0767]], "species": ["Tm", "Tm", "Tm", "Tm", "Tm", "Tm", "Tm", "Tm", "Tm", "Tm", "Tm", "Tm", "Tl", "Tl", "Tl", "Tl", "Tl", "Tl", "Pt"], "fractional_positions": [[0.0376, 0.6878, 0.9357], [0.0643, 0.9624, 0.3122], [0.1841, 0.4329, 0.5701], [0.3122, 0.0643, 0.9624], [0.4299, 0.8159, 0.5671], [0.4329, 0.5701, 0.1841], [0.5671, 0.4299, 0.8159], [0.5701, 0.1841, 0.4329], [0.6878, 0.9357, 0.0376], [0.8159, 0.5671, 0.4299], [0.9357, 0.0376, 0.6878], [0.9624, 0.3122, 0.0643], [0.1330, 0.6230, 0.3025], [0.3025, 0.1330, 0.6230], [0.3770, 0.6975, 0.8670], [0.6230, 0.3025, 0.1330], [0.6975, 0.8670, 0.3770], [0.8670, 0.3770, 0.6975], [0.0000, 0.0000, 0.0000]], "sg": "R-3", "formation_energy_mev_per_atom": -121.2, "crystal_system": "trigonal", "final_energy_ev_per_atom": -4.010, "volume_a3_per_atom": 32.21}


{"formula": "Tm4TlPt", "functional": "PBE", "state": "optimized geometry", "cell": [[7.4152, 0.0000, 0.0000], [0.0000, 6.9850, 0.0000], [-0.2034, 0.0000, 6.8816]], "species": ["Tm", "Tm", "Tm", "Tm", "Tm", "Tm", "Tm", "Tm", "Tl", "Tl", "Pt", "Pt"], "fractional_positions": [[0.1409, 0.1593, 0.1702], [0.1409, 0.3407, 0.6702], [0.3199, 0.6414, 0.1258], [0.3199, 0.8586, 0.6258], [0.6801, 0.1414, 0.3742], [0.6801, 0.3586, 0.8742], [0.8591, 0.6593, 0.3298], [0.8591, 0.8407, 0.8298], [0.5000, 0.0000, 0.0000], [0.5000, 0.5000, 0.5000], [0.0000, 0.0000, 0.5000], [0.0000, 0.5000, 0.0000]], "sg": "P2_1/c", "formation_energy_mev_per_atom": -429.9, "crystal_system": "monoclinic", "final_energy_ev_per_atom": -4.812, "volume_a3_per_atom": 29.70}


{"formula": "Tm6Tl2Pt", "functional": "PBE", "state": "optimized geometry", "cell": [[6.1168, 0.0000, 0.0000], [0.0000, 8.4444, 0.0000], [-5.7614, 0.0000, 9.7537]], "species": ["Tm", "Tm", "Tm", "Tm", "Tm", "Tm", "Tm", "Tm", "Tm", "Tm", "Tm", "Tm", "Tl", "Tl", "Tl", "Tl", "Pt", "Pt"], "fractional_positions": [[0.0605, 0.1801, 0.4446], [0.0605, 0.3199, 0.9446], [0.3350, 0.6784, 0.4467], [0.3350, 0.8216, 0.9467], [0.3793, 0.0283, 0.2678], [0.3793, 0.4717, 0.7678], [0.6207, 0.5283, 0.2322], [0.6207, 0.9717, 0.7322], [0.6650, 0.1784, 0.0533], [0.6650, 0.3216, 0.5533], [0.9395, 0.6801, 0.0554], [0.9395, 0.8199, 0.5554], [0.1707, 0.1222, 0.7496], [0.1707, 0.3778, 0.2496], [0.8293, 0.6222, 0.7504], [0.8293, 0.8778, 0.2504], [0.0000, 0.0000, 0.0000], [0.0000, 0.5000, 0.5000]], "sg": "P2_1/c", "formation_energy_mev_per_atom": -373.7, "crystal_system": "monoclinic", "final_energy_ev_per_atom": -4.552, "volume_a3_per_atom": 27.99}


{"formula": "Tm2TlPt", "functional": "PBE", "state": "optimized geometry", "cell": [[3.5433, 0.0000, 0.0000], [0.0000, 3.5433, 0.0000], [0.0000, 0.0000, 7.5041]], "species": ["Tm", "Tm", "Tl", "Pt"], "fractional_positions": [[0.0000, 0.0000, 0.2178], [0.0000, 0.0000, 0.7822], [0.5000, 0.5000, 0.5000], [0.5000, 0.5000, 0.0000]], "sg": "P4/mmm", "formation_energy_mev_per_atom": -814.1, "crystal_system": "tetragonal", "final_energy_ev_per_atom": -5.152, "volume_a3_per_atom": 23.55}


{"formula": "Tm2TlPt", "functional": "PBE", "state": "optimized geometry", "cell": [[1.9804, 1.1434, 7.9999], [-1.9804, 1.1434, 7.9999], [0.0000, -2.2868, 7.9999]], "species": ["Tm", "Tm", "Tl", "Pt"], "fractional_positions": [[0.0000, 0.0000, 0.0000], [0.2022, 0.2022, 0.2022], [0.7678, 0.7678, 0.7678], [0.6023, 0.6023, 0.6023]], "sg": "R3m", "formation_energy_mev_per_atom": -730.7, "crystal_system": "trigonal", "final_energy_ev_per_atom": -5.068, "volume_a3_per_atom": 27.17}


{"formula": "Tm3TlPt", "functional": "PBE", "state": "optimized geometry", "cell": [[4.7338, 0.0000, 0.0000], [0.0000, 6.7727, 0.0000], [0.0000, 0.0000, 8.3436]], "species": ["Tm", "Tm", "Tm", "Tm", "Tm", "Tm", "Tl", "Tl", "Pt", "Pt"], "fractional_positions": [[0.2500, 0.0027, 0.1616], [0.2500, 0.4973, 0.1616], [0.2500, 0.7500, 0.5633], [0.7500, 0.2500, 0.4367], [0.7500, 0.5027, 0.8384], [0.7500, 0.9973, 0.8384], [0.2500, 0.2500, 0.6695], [0.7500, 0.7500, 0.3305], [0.2500, 0.7500, 0.8955], [0.7500, 0.2500, 0.1045]], "sg": "Pmmn", "formation_energy_mev_per_atom": -671.1, "crystal_system": "orthorhombic", "final_energy_ev_per_atom": -5.035, "volume_a3_per_atom": 26.75}


{"formula": "TmTlPt4", "functional": "PBE", "state": "optimized geometry", "cell": [[0.0000, 3.8288, 3.8288], [3.8288, 0.0000, 3.8288], [3.8288, 3.8288, 0.0000]], "species": ["Tm", "Tl", "Pt", "Pt", "Pt", "Pt"], "fractional_positions": [[0.0000, 0.0000, 0.0000], [0.7500, 0.7500, 0.7500], [0.3752, 0.3752, 0.3752], [0.3752, 0.3752, 0.8743], [0.3752, 0.8743, 0.3752], [0.8743, 0.3752, 0.3752]], "sg": "F-43m", "formation_energy_mev_per_atom": -709.3, "crystal_system": "cubic", "final_energy_ev_per_atom": -5.876, "volume_a3_per_atom": 18.71}


{"formula": "Tm4Tl3Pt", "functional": "PBE", "state": "optimized geometry", "cell": [[3.5796, 0.0000, 0.0000], [0.0000, 3.5796, 0.0000], [0.0000, 0.0000, 15.5879]], "species": ["Tm", "Tm", "Tm", "Tm", "Tl", "Tl", "Tl", "Pt"], "fractional_positions": [[0.0000, 0.0000, 0.1038], [0.0000, 0.0000, 0.3680], [0.0000, 0.0000, 0.6320], [0.0000, 0.0000, 0.8962], [0.5000, 0.5000, 0.2399], [0.5000, 0.5000, 0.5000], [0.5000, 0.5000, 0.7601], [0.5000, 0.5000, 0.0000]], "sg": "P4/mmm", "formation_energy_mev_per_atom": -559.4, "crystal_system": "tetragonal", "final_energy_ev_per_atom": -4.438, "volume_a3_per_atom": 24.97}


{"formula": "Tm2TlPt", "functional": "PBE", "state": "optimized geometry", "cell": [[1.9625, 1.1331, 8.0650], [-1.9625, 1.1331, 8.0650], [0.0000, -2.2661, 8.0650]], "species": ["Tm", "Tm", "Tl", "Pt"], "fractional_positions": [[0.2331, 0.2331, 0.2331], [0.7669, 0.7669, 0.7669], [0.0000, 0.0000, 0.0000], [0.5000, 0.5000, 0.5000]], "sg": "R-3m", "formation_energy_mev_per_atom": -732.4, "crystal_system": "trigonal", "final_energy_ev_per_atom": -5.070, "volume_a3_per_atom": 26.90}


{"formula": "Tm12Tl5Pt2", "functional": "PBE", "state": "optimized geometry", "cell": [[8.5541, -3.5271, 0.0000], [8.5541, 3.5271, 0.0000], [-0.6990, 0.0000, 8.8100]], "species": ["Tm", "Tm", "Tm", "Tm", "Tm", "Tm", "Tm", "Tm", "Tm", "Tm", "Tm", "Tm", "Tl", "Tl", "Tl", "Tl", "Tl", "Pt", "Pt"], "fractional_positions": [[0.0045, 0.0045, 0.2927], [0.0952, 0.6063, 0.4780], [0.0984, 0.5964, 0.0650], [0.3937, 0.9048, 0.5220], [0.4036, 0.9016, 0.9350], [0.4609, 0.4609, 0.8188], [0.5391, 0.5391, 0.1812], [0.5964, 0.0984, 0.0650], [0.6063, 0.0952, 0.4780], [0.9016, 0.4036, 0.9350], [0.9048, 0.3937, 0.5220], [0.9955, 0.9955, 0.7073], [0.2119, 0.2119, 0.2468], [0.2750, 0.2750, 0.7516], [0.5000, 0.5000, 0.5000], [0.7250, 0.7250, 0.2484], [0.7881, 0.7881, 0.7532], [0.1940, 0.8060, 0.0000], [0.8060, 0.1940, 0.0000]], "sg": "C2/m", "formation_energy_mev_per_atom": -367.9, "crystal_system": "monoclinic", "final_energy_ev_per_atom": -4.451, "volume_a3_per_atom": 27.98}


{"formula": "Tm6TlPt", "functional": "PBE", "state": "optimized geometry", "cell": [[6.9974, 0.0000, 0.0000], [-3.4851, 6.0769, 0.0000], [-3.4738, -2.0190, 5.9118]], "species": ["Tm", "Tm", "Tm", "Tm", "Tm", "Tm", "Tl", "Pt"], "fractional_positions": [[0.0367, 0.0699, 0.2573], [0.2894, 0.7200, 0.2567], [0.3099, 0.5312, 0.7432], [0.6901, 0.4688, 0.2568], [0.7106, 0.2800, 0.7433], [0.9633, 0.9301, 0.7427], [0.5000, 0.0000, 0.0000], [0.5000, 0.5000, 0.5000]], "sg": "P-1", "formation_energy_mev_per_atom": -171.9, "crystal_system": "triclinic", "final_energy_ev_per_atom": -4.576, "volume_a3_per_atom": 31.42}


{"formula": "Tm2TlPt", "functional": "PBE", "state": "optimized geometry", "cell": [[0.0000, 3.5961, 3.5961], [3.5961, 0.0000, 3.5961], [3.5961, 3.5961, 0.0000]], "species": ["Tm", "Tm", "Tl", "Pt"], "fractional_positions": [[0.2500, 0.2500, 0.2500], [0.7500, 0.7500, 0.7500], [0.0000, 0.0000, 0.0000], [0.5000, 0.5000, 0.5000]], "sg": "Fm-3m", "formation_energy_mev_per_atom": -718.8, "crystal_system": "cubic", "final_energy_ev_per_atom": -5.056, "volume_a3_per_atom": 23.25}


{"formula": "Tm5TlPt", "functional": "PBE", "state": "optimized geometry", "cell": [[5.4488, -3.4100, 0.0000], [5.4488, 3.4100, 0.0000], [-3.7275, 0.0000, 10.7377]], "species": ["Tm", "Tm", "Tm", "Tm", "Tm", "Tm", "Tm", "Tm", "Tm", "Tm", "Tl", "Tl", "Pt", "Pt"], "fractional_positions": [[0.0057, 0.9943, 0.7500], [0.0565, 0.4018, 0.6386], [0.2125, 0.5299, 0.9510], [0.4018, 0.0565, 0.1386], [0.4701, 0.7875, 0.5490], [0.5299, 0.2125, 0.4510], [0.5982, 0.9435, 0.8614], [0.7875, 0.4701, 0.0490], [0.9435, 0.5982, 0.3614], [0.9943, 0.0057, 0.2500], [0.4640, 0.5360, 0.2500], [0.5360, 0.4640, 0.7500], [0.0000, 0.0000, 0.0000], [0.0000, 0.0000, 0.5000]], "sg": "C2/c", "formation_energy_mev_per_atom": -320.9, "crystal_system": "monoclinic", "final_energy_ev_per_atom": -4.716, "volume_a3_per_atom": 28.50}


{"formula": "Tm3TlPt", "functional": "PBE", "state": "optimized geometry", "cell": [[1.8781, -7.7138, 0.0000], [1.8781, 7.7138, 0.0000], [0.0000, 0.0000, 9.7349]], "species": ["Tm", "Tm", "Tm", "Tm", "Tm", "Tm", "Tl", "Tl", "Pt", "Pt"], "fractional_positions": [[0.1257, 0.8743, 0.7500], [0.3381, 0.6619, 0.5686], [0.3381, 0.6619, 0.9314], [0.6619, 0.3381, 0.0686], [0.6619, 0.3381, 0.4314], [0.8743, 0.1257, 0.2500], [0.0000, 0.0000, 0.0000], [0.0000, 0.0000, 0.5000], [0.2447, 0.7553, 0.2500], [0.7553, 0.2447, 0.7500]], "sg": "Cmcm", "formation_energy_mev_per_atom": -592.9, "crystal_system": "orthorhombic", "final_energy_ev_per_atom": -4.957, "volume_a3_per_atom": 28.21}